# CsY2CuS4

CsY2CuS4 after structural relaxation (PBE-GGA, Alexandria).

Summary:
Theoretical density (Mg/m³): 4.24
Formation energy without anion corrections (eV per atom): -1.636
Symmetry: No. 63

a b c (Å): 4.017 7.336 13.893
angles (deg): 90.00 90.00 105.89
Sites, in units of the cell vectors:
Cs  0.106  0.212  0.750
Cs  0.894  0.788  0.250
Y  0.366  0.732  0.561
Y  0.634  0.268  0.061
Y  0.634  0.268  0.439
Y  0.366  0.732  0.939
Cu  0.832  0.664  0.750
Cu  0.168  0.336  0.250
S  0.256  0.511  0.106
S  0.744  0.489  0.606
S  0.744  0.489  0.894
S  0.256  0.511  0.394
S  0.000  0.000  0.500
S  0.000  0.000  0.000
S  0.418  0.835  0.750
S  0.582  0.165  0.250

# Cs2ZrCuS4

Cs2ZrCuS4 after structural relaxation (PBE-GGA, Alexandria).

Summary:
Density of states at the Fermi level (states/eV/atom): 0.5256
Theoretical density (Mg/m³): 3.84
Formation energy without anion corrections (eV per atom): -0.918
Symmetry: No. 15

a b c (Å): 8.030 8.030 7.436
angles (deg): 89.96 89.96 98.55
Sites, in units of the cell vectors:
Cs  0.500  0.000  0.000
Cs  0.500  0.000  0.500
Cs  0.000  0.000  0.500
Cs  0.500  0.500  0.000
Zr  0.000  0.500  0.000
Zr  0.000  0.500  0.500
Cu  0.500  0.500  0.500
Cu  0.000  0.000  0.000
S  0.169  0.672  0.750
S  0.828  0.331  0.750
S  0.172  0.669  0.250
S  0.831  0.328  0.250
S  0.835  0.769  0.004
S  0.731  0.665  0.496
S  0.269  0.335  0.504
S  0.165  0.231  0.996

# CsZr2CuS

CsZr2CuS after structural relaxation (PBE-GGA, Alexandria).

Summary:
Density of states at the Fermi level (states/eV/atom): 1.4549
Theoretical density (Mg/m³): 5.01
Formation energy without anion corrections (eV per atom): 2.074
Symmetry: No. 123

a b c (Å): 5.329 4.792 5.329
angles (deg): 90.00 90.00 90.00
Sites, in units of the cell vectors:
Cs  0.000  0.000  0.000
S  0.500  0.500  0.500
Cu  0.000  0.500  0.000
Zr  0.000  0.000  0.500
Zr  0.500  0.000  0.000

# CsZrCuS3

CsZrCuS3 after structural relaxation (PBE-GGA, Alexandria).

Summary:
Theoretical density (Mg/m³): 4.17
Formation energy without anion corrections (eV per atom): -1.258
Symmetry: No. 11

a b c (Å): 3.826 9.110 9.694
angles (deg): 115.29 90.00 90.00
Sites, in units of the cell vectors:
Cs  0.250  0.229  0.258
Cs  0.750  0.771  0.742
Zr  0.250  0.685  0.162
Zr  0.750  0.315  0.838
Cu  0.250  0.085  0.605
Cu  0.750  0.915  0.395
S  0.750  0.868  0.142
S  0.250  0.132  0.858
S  0.250  0.795  0.449
S  0.750  0.205  0.551
S  0.750  0.479  0.143
S  0.250  0.521  0.857

# Cs2CuSb

Cs2CuSb after structural relaxation (PBE-GGA, Alexandria).

Summary:
Density of states at the Fermi level (states/eV/atom): 0.0074
Theoretical density (Mg/m³): 3.36
Formation energy without anion corrections (eV per atom): -0.159
Symmetry: No. 122

a b c (Å): 13.520 13.520 9.865
angles (deg): 46.75 46.75 90.00
Sites, in units of the cell vectors:
Cs  0.443  0.125  0.250
Cs  0.307  0.625  0.250
Cs  0.375  0.557  0.750
Cs  0.875  0.693  0.750
Sb  0.000  0.000  0.000
Sb  0.750  0.250  0.500
Cu  0.500  0.500  0.000
Cu  0.250  0.750  0.500

# CsCu3Sb2

CsCu3Sb2 after structural relaxation (PBE-GGA, Alexandria).

Summary:
Density of states at the Fermi level (states/eV/atom): 0.3271
Theoretical density (Mg/m³): 5.94
Formation energy without anion corrections (eV per atom): -0.088
Symmetry: No. 2

a b c (Å): 4.247 10.647 10.210
angles (deg): 44.73 78.04 78.51
Sites, in units of the cell vectors:
Cs  0.769  0.224  0.238
Cs  0.231  0.776  0.762
Cu  0.447  0.295  0.812
Cu  0.034  0.248  0.685
Cu  0.563  0.379  0.495
Cu  0.437  0.621  0.505
Cu  0.966  0.752  0.315
Cu  0.553  0.705  0.188
Sb  0.570  0.030  0.830
Sb  0.430  0.970  0.170
Sb  0.891  0.498  0.721
Sb  0.109  0.502  0.279